(1)
A PBEsol-optimized structure of Cd3PPb. Source: the Alexandria database, functional meta-GGA SCAN.

Cell lengths 5.060, 5.060, 5.060 Å; angles 90.00, 90.00, 90.00 degrees
Positions (direct):
P (0.000, 0.000, 0.000)
Cd (0.500, 0.000, 0.000)
Cd (0.000, 0.000, 0.500)
Cd (0.000, 0.500, 0.000)
Pb (0.500, 0.500, 0.500)

Computed properties:
total magnetic moment	0.0	μB/f.u.
space-group type	Pm-3m
offset from the most stable computed form	0.00	kJ per mole of atoms

(2)
A PBEsol-optimized structure of Cd3PPb. Source: the Alexandria database, functional meta-GGA SCAN.

Cell lengths 5.440, 5.440, 5.440 Å; angles 90.00, 90.00, 90.00 degrees
Last column: magnetic moment on the atom in μB.
Positions (direct):
P (0.500, 0.500, 0.500)  0.67
Cd (0.500, 0.000, 0.000)  -0.01
Cd (0.000, 0.500, 0.000)  -0.01
Cd (0.000, 0.000, 0.500)  -0.01
Pb (0.000, 0.000, 0.000)  0.01

Computed properties:
total magnetic moment	1.5	μB/f.u.
space-group type	Pm-3m
offset from the most stable computed form	47.27	kJ per mole of atoms

(3)
A PBEsol-optimized structure of CdP4Pb. Source: the Alexandria database, functional meta-GGA SCAN.

Cell lengths 5.656, 5.656, 5.656 Å; angles 60.00, 60.00, 60.00 degrees
Positions (direct):
P (0.350, 0.949, 0.350)
P (0.350, 0.350, 0.350)
P (0.350, 0.350, 0.949)
P (0.949, 0.350, 0.350)
Pb (0.750, 0.750, 0.750)
Cd (0.000, 0.000, 0.000)

Computed properties:
total magnetic moment	0.0	μB/f.u.
space-group type	F-43m

(4)
A PBEsol-optimized structure of CdPPb2. Source: the Alexandria database, functional meta-GGA SCAN.

Cell lengths 5.153, 5.153, 5.153 Å; angles 60.00, 60.00, 60.00 degrees
Positions (direct):
Pb (0.000, 0.000, 0.000)
Pb (0.750, 0.750, 0.750)
P (0.250, 0.250, 0.250)
Cd (0.500, 0.500, 0.500)

Computed properties:
total magnetic moment	0.0	μB/f.u.
space-group type	F-43m

(5)
A PBEsol-optimized structure of CdPPbS2. Source: the Alexandria database, functional meta-GGA SCAN.

Cell lengths 5.080, 5.080, 5.186 Å; angles 90.00, 90.00, 90.00 degrees
Last column: magnetic moment on the atom in μB.
Positions (direct):
P (0.000, 0.000, 0.500)  0.61
S (0.500, 0.000, 0.000)  0.20
S (0.000, 0.500, 0.000)  0.20
Pb (0.000, 0.000, 0.000)  -0.01
Cd (0.500, 0.500, 0.500)  -0.07

Computed properties:
total magnetic moment	1.8	μB/f.u.
space-group type	P4/mmm
energy relative to the elements, uncorrected	824	meV per atom

(6)
A PBEsol-optimized structure of Cd3PPd. Source: the Alexandria database, functional meta-GGA SCAN.

Cell lengths 4.991, 4.991, 4.991 Å; angles 90.00, 90.00, 90.00 degrees
Positions (direct):
Pd (0.000, 0.000, 0.000)
P (0.500, 0.500, 0.500)
Cd (0.000, 0.500, 0.000)
Cd (0.000, 0.000, 0.500)
Cd (0.500, 0.000, 0.000)

Computed properties:
total magnetic moment	0.0	μB/f.u.
space-group type	Pm-3m

no.,electronic total energy (eV/atom)
1,-35.1339
2,-34.6440
3,-24.1351
4,-47.7196
5,-26.3465
6,-26.3666